(1)
VASP calculation (PBE) on an optimized crystal structure of Tc3SnGe.

Values from the calculation:
- ΔE to the lowest computed polymorph: 0.00 kcal/mol of atoms

```
Tc3SnGe
1.0
4.574 0.000 0.000
0.000 4.574 0.000
0.000 0.000 4.574
Tc Sn Ge
3 1 1
Cartesian
0.000 0.000 2.287 Tc
0.000 2.287 0.000 Tc
2.287 0.000 0.000 Tc
2.287 2.287 2.287 Sn
0.000 0.000 0.000 Ge
```

=====

(2)
VASP calculation (PBE) on an optimized crystal structure of Ac2In3Hg5.

```
Ac2In3Hg5
1.0
-5.925 6.876 3.440
5.925 -6.876 3.440
5.925 6.876 -3.440
Ac In Hg
4 6 10
Cartesian
2.779 1.755 0.000 Ac
2.779 -1.755 3.440 Ac
3.146 8.631 0.000 Ac
3.146 5.122 3.440 Ac
4.504 -5.033 3.440 In
5.925 0.000 1.720 In
4.504 5.033 0.000 In
1.421 1.843 3.440 In
0.000 6.876 1.720 In
1.421 11.910 0.000 In
5.925 -3.187 1.720 Hg
7.697 1.569 0.000 Hg
0.000 0.000 1.720 Hg
1.772 5.308 0.000 Hg
5.925 3.187 1.720 Hg
0.000 3.690 1.720 Hg
4.153 1.569 3.440 Hg
0.000 0.000 5.160 Hg
-1.772 5.308 3.440 Hg
0.000 10.063 1.720 Hg
```

=====

(3)
VASP calculation (PBE) on an optimized crystal structure of NdTm12Th7.

```
NdTm12Th7
1.0
5.933 3.426 5.294
-5.933 3.426 5.294
0.000 -6.851 5.294
Nd Tm Th
1 12 7
Cartesian
0.000 0.000 0.000 Nd
-2.915 -0.810 6.635 Tm
-0.793 -3.603 6.128 Tm
-3.517 -1.115 9.754 Tm
-2.724 2.489 6.128 Tm
-0.756 -2.930 9.247 Tm
2.159 -2.120 6.635 Tm
-2.159 2.120 9.247 Tm
0.756 2.930 6.635 Tm
2.724 -2.489 9.754 Tm
3.517 1.115 6.128 Tm
0.793 3.603 9.754 Tm
2.915 0.810 9.247 Tm
-1.880 0.535 3.315 Th
0.477 -1.896 3.315 Th
1.403 1.361 3.315 Th
0.000 0.000 7.941 Th
-1.403 -1.361 12.568 Th
-0.477 1.896 12.568 Th
1.880 -0.535 12.568 Th
```

=====

ΔE_f for every record listed, in sequence, given in eV per atom: 0.997 -0.318 0.270.